No. 1
RbZrNbSe3 after structural relaxation, computed with PBE.

Its size of the total moment is 0.003 μB per atom. The calculation puts the total DFT energy (no corrections) at -6.1038 eV/atom. The calculation puts the mass density at 5.22 g/cm³.

It has space group P2_1/m (No. 11), with a = 9.0405 Å, b = 3.8197 Å, c = 10.2750 Å, α = 90.00°, β = 114.80° and γ = 90.00°. The inequivalent atoms are Rb at (0.0298, 0.2500, 0.2670), Zr at (0.4781, 0.2500, 0.1437), Nb at (0.4787, 0.7500, 0.3948), Se at (0.2519, 0.7500, 0.1391), Se at (0.3003, 0.7500, 0.5491) and Se at (0.3080, 0.2500, 0.8580).

No. 2
RbZrNbSe3 after structural relaxation, computed with PBE.

Its size of the total moment is 0.004 μB per atom. The calculation puts the total DFT energy (no corrections) at -6.0891 eV/atom. The calculation puts the mass density at 5.28 g/cm³.

It has space group Cmcm (No. 63), with a = 3.8112 Å, b = 16.5009 Å, c = 10.1338 Å, α = 90.00°, β = 90.00° and γ = 90.00°. The inequivalent atoms are Rb at (0.0000, 0.2478, 0.2500), Zr at (0.0000, 0.0000, 0.0000), Nb at (0.0000, 0.4756, 0.7500), Se at (0.0000, 0.0823, 0.7500) and Se at (0.0000, 0.3823, 0.5517).

No. 3
RbNbSi after structural relaxation, computed with PBE.

Its size of the total moment is 0.667 μB per atom. The calculation puts the total DFT energy (no corrections) at -4.1718 eV/atom. The calculation puts the mass density at 4.42 g/cm³.

It has space group F-43m (No. 216), with a = 6.7697 Å, b = 6.7697 Å, c = 6.7697 Å, α = 90.00°, β = 90.00° and γ = 90.00°. The inequivalent atoms are Rb at (0.0000, 0.0000, 0.0000), Nb at (0.2500, 0.2500, 0.7500) and Si at (0.0000, 0.0000, 0.5000).

No. 4
RbNbSi after structural relaxation, computed with PBE.

Its size of the total moment is 0.716 μB per atom. The calculation puts the total DFT energy (no corrections) at -3.2077 eV/atom. The calculation puts the mass density at 3.88 g/cm³.

It has space group F-43m (No. 216), with a = 7.0704 Å, b = 7.0704 Å, c = 7.0704 Å, α = 90.00°, β = 90.00° and γ = 90.00°. The inequivalent atoms are Rb at (0.0000, 0.0000, 0.0000), Nb at (0.2500, 0.2500, 0.7500) and Si at (0.2500, 0.2500, 0.2500).

mass density of number 4 (RbNbSi)? 3.88 g/cm³